1) First-principles (PBE-GGA) data for a relaxed ZnHgSe2Br crystal, as listed in Alexandria via LeMat-Bulk.

Properties
Calculated density, g cm⁻³: 6.44

Geometry as POSCAR:
```
ZnHgSe2Br
1.0
5.049 0.000 0.000
0.000 5.049 0.000
0.000 0.000 5.098
Zn Se Hg Br
1 2 1 1
Cartesian
0.000 0.000 0.000 Zn
0.000 2.525 0.000 Se
2.525 0.000 0.000 Se
2.525 2.525 2.549 Hg
0.000 0.000 2.549 Br
```

=====

2) First-principles (PBE-GGA) data for a relaxed ZnHgSe2Br crystal, as listed in Alexandria via LeMat-Bulk.

Properties
Calculated density, g cm⁻³: 5.02

Geometry as POSCAR:
```
ZnHgSe2Br
1.0
-1.425 2.725 -3.530
0.320 -3.633 -2.934
-7.219 -1.842 1.493
Zn Se Hg Br
1 2 1 1
Cartesian
0.000 0.000 0.000 Zn
0.160 -1.817 -1.467 Se
-0.713 1.362 -1.765 Se
-3.610 -0.921 0.746 Hg
-4.162 -1.375 -2.486 Br
```

=====

3) First-principles (PBE-GGA) data for a relaxed ZnHgSe2Br crystal, as listed in Alexandria via LeMat-Bulk.

Properties
Calculated density, g cm⁻³: 5.45

Geometry as POSCAR:
```
ZnHgSe2Br
1.0
-2.076 1.649 -4.605
-3.406 -4.077 0.075
-3.593 3.052 2.712
Zn Se Hg Br
1 2 1 1
Cartesian
-4.537 0.312 -0.908 Zn
-1.703 -2.039 0.038 Se
-1.038 0.824 -2.302 Se
0.000 0.000 0.000 Hg
-1.797 1.526 1.356 Br
```

=====

Verdict on stability: 1) comes out on top.